The following is a DFT calculation (GGA-PBE) of a geometry-optimized La5HoTm2 structure.

DFT formation energy: 101 kJ/mol of formula units
Energy: -74.214 eV for the cell shown

Unit cell a=9.2281 b=9.2281 c=9.2281 alpha=119.59 beta=119.59 gamma=90.71
Fractional positions:
La 0.0000 0.0000 0.0000
La 0.0173 0.5173 0.2002
La 0.1829 0.9827 0.5000
La 0.3171 0.8171 0.7998
La 0.4827 0.6829 0.5000
La 0.5000 0.5000 0.0000
La 0.5173 0.3171 0.5000
La 0.6829 0.1829 0.2002
La 0.8171 0.0173 0.5000
La 0.9827 0.4827 0.7998
Ho 0.2500 0.2500 0.0000
Ho 0.7500 0.7500 0.0000
Tm 0.1449 0.3551 0.5000
Tm 0.3551 0.8551 0.2102
Tm 0.6449 0.1449 0.7898
Tm 0.8551 0.6449 0.5000



The following is a DFT calculation (GGA-PBE) of a geometry-optimized ReBiSN2 structure.

Energy: -25.259 eV for the cell shown

Unit cell a=4.1989 b=4.1989 c=5.5585 alpha=90.00 beta=90.00 gamma=90.00
Fractional positions:
Re 0.0000 0.0000 0.0000
Bi 0.5000 0.5000 0.5000
S 0.5000 0.5000 0.0000
N 0.0000 0.5000 0.5000
N 0.5000 0.0000 0.5000



The following is a DFT calculation (GGA-PBE) of a geometry-optimized CuRe2P structure.

DFT formation energy: 163 kJ/mol of formula units
Energy: -65.434 eV for the cell shown

Unit cell a=2.9157 b=4.6252 c=8.5333 alpha=90.00 beta=90.00 gamma=90.00
Fractional positions:
Cu 0.0000 0.0000 0.0000
Cu 0.5000 0.5000 0.0000
Re 0.0000 0.0000 0.5231
Re 0.0000 0.5000 0.2623
Re 0.5000 0.0000 0.2623
Re 0.5000 0.5000 0.5231
P 0.0000 0.5000 0.7564
P 0.5000 0.0000 0.7564



The following is a DFT calculation (GGA-PBE) of a geometry-optimized TlCd2BiRh structure.

DFT formation energy: 20 kJ/mol of formula units
Energy: -15.226 eV for the cell shown

Unit cell a=5.2800 b=5.2800 c=5.1466 alpha=90.00 beta=90.00 gamma=90.00
Fractional positions:
Tl 0.0000 0.0000 0.0000
Cd 0.0000 0.5000 0.5000
Cd 0.5000 0.0000 0.5000
Bi 0.5000 0.5000 0.0000
Rh 0.5000 0.5000 0.5000



The following is a DFT calculation (GGA-PBE) of a geometry-optimized Re2RuPb structure.

DFT formation energy: 340 kJ/mol of formula units
Energy: -68.712 eV for the cell shown

Unit cell a=3.1618 b=4.6641 c=9.0603 alpha=90.00 beta=90.00 gamma=90.00
Fractional positions:
Re 0.0000 0.0000 0.0000
Re 0.0000 0.5000 0.2664
Re 0.5000 0.0000 0.7664
Re 0.5000 0.5000 0.5000
Ru 0.0000 0.5000 0.7662
Ru 0.5000 0.0000 0.2662
Pb 0.0000 0.0000 0.5113
Pb 0.5000 0.5000 0.0113



The following is a DFT calculation (GGA-PBE) of a geometry-optimized ZrTi2Co structure.

DFT formation energy: -85 kJ/mol of formula units
Energy: -129.308 eV for the cell shown

Unit cell a=4.1942 b=10.1081 c=6.3770 alpha=90.00 beta=90.00 gamma=90.00
Fractional positions:
Zr 0.0000 0.0555 0.2500
Zr 0.0000 0.9445 0.7500
Zr 0.5000 0.4445 0.7500
Zr 0.5000 0.5555 0.2500
Ti 0.0000 0.3542 0.0391
Ti 0.0000 0.3542 0.4609
Ti 0.0000 0.6458 0.5391
Ti 0.0000 0.6458 0.9609
Ti 0.5000 0.1458 0.5391
Ti 0.5000 0.1458 0.9609
Ti 0.5000 0.8542 0.0391
Ti 0.5000 0.8542 0.4609
Co 0.0000 0.2076 0.7500
Co 0.0000 0.7924 0.2500
Co 0.5000 0.2924 0.2500
Co 0.5000 0.7076 0.7500



The following is a DFT calculation (GGA-PBE) of a geometry-optimized Sm3Tl2Co structure.

DFT formation energy: -123 kJ/mol of formula units
Energy: -54.542 eV for the cell shown

Unit cell a=9.5651 b=9.5651 c=7.4161 alpha=112.75 beta=112.75 gamma=31.80
Fractional positions:
Sm 0.0014 0.9986 0.7500
Sm 0.3742 0.3742 0.3745
Sm 0.3742 0.3742 0.8745
Sm 0.6258 0.6258 0.1255
Sm 0.6258 0.6258 0.6255
Sm 0.9986 0.0014 0.2500
Tl 0.1945 0.1944 0.4448
Tl 0.1944 0.1945 0.9448
Tl 0.8056 0.8055 0.0552
Tl 0.8055 0.8056 0.5552
Co 0.4985 0.5015 0.2500
Co 0.5015 0.4985 0.7500



The following is a DFT calculation (GGA-PBE) of a geometry-optimized KNaTh2Te5 structure.

Energy: -86.321 eV for the cell shown

Unit cell a=10.6180 b=10.6180 c=10.6180 alpha=131.41 beta=131.41 gamma=71.16
Fractional positions:
K 0.2500 0.2500 0.0000
K 0.7500 0.7500 0.0000
Na 0.2500 0.7500 0.5000
Na 0.7500 0.2500 0.5000
Th 0.1579 0.6579 0.8158
Th 0.3421 0.1579 0.5000
Th 0.6579 0.8421 0.5000
Th 0.8421 0.3421 0.1842
Te 0.0000 0.0000 0.0000
Te 0.0325 0.2353 0.5000
Te 0.2353 0.7353 0.2027
Te 0.2647 0.4675 0.5000
Te 0.4675 0.9675 0.2027
Te 0.5000 0.5000 0.0000
Te 0.5325 0.0325 0.7973
Te 0.7353 0.5325 0.5000
Te 0.7647 0.2647 0.7973
Te 0.9675 0.7647 0.5000



> Which of these has the highest energy?

TlCd2BiRh



> Which value of energy does entry 6 give?

-129.308 eV for the cell shown



> The highest energy belongs to which entry?

TlCd2BiRh



> Which value of energy does entry 4 give?

-15.226 eV for the cell shown